Compound: MnSe2BrF
Source: Alexandria via LeMat-Bulk
Functional: PBE+U
Structure: relaxed

The value obtained for the magnetization is 1.5 μB/f.u. For the offset from the most stable computed form, the calculation gives 0.111 eV/f.u. As for the density: 4.1 Mg/m³. For the density of states at the Fermi level, the calculation gives 4.8 states/eV/f.u.

It has space group P4/mmm (No. 123), with a = 5.023 Å, b = 5.023 Å, c = 5.066 Å, α = 90.00°, β = 90.00° and γ = 90.00°. The distinct sites, in fractional coordinates, are Mn at (0.000, 0.000, 0.000), Se at (0.000, 0.500, 0.000), Br at (0.000, 0.000, 0.500) and F at (0.500, 0.500, 0.500).